Computed, not measured: an optimized crystal structure of BiHPd2 at the GGA-PBE level of DFT.

Calculated values
Space group: Pmn2_1, No. 31
ΔE to the lowest computed polymorph: 19 meV/atom

a = 3.650 Å, b = 4.333 Å, c = 8.067 Å
α = 90.00°, β = 90.00°, γ = 90.00°
Positions (direct):
Bi: 0.201 0.924 0.754
Bi: 0.701 0.424 0.462
H: 0.201 0.830 0.155
H: 0.701 0.330 0.061
Pd: 0.701 0.737 0.140
Pd: 0.701 0.443 0.821
Pd: 0.201 0.943 0.395
Pd: 0.201 0.237 0.076